Entry 1:
Li2VCrO4 | GGA-PBEsol | relaxed

Cell and atoms, written as CIF:
```
data_Li2VCrO4
_symmetry_space_group_name_H-M 'P 1'
_symmetry_Int_Tables_number 1
_cell_length_a 5.043
_cell_length_b 5.870
_cell_length_c 7.605
_cell_angle_alpha 78.95
_cell_angle_beta 71.38
_cell_angle_gamma 90.03
loop_
_symmetry_equiv_pos_as_xyz
'x,y,z'
loop_
_atom_site_label
_atom_site_fract_x
_atom_site_fract_y
_atom_site_fract_z
O1 0.269 0.054 0.327
O2 0.274 0.705 0.660
O3 0.729 0.788 0.340
O4 0.275 0.375 0.995
O5 0.726 0.295 0.340
O6 0.725 0.625 0.005
O7 0.724 0.451 0.674
O8 0.733 0.132 0.008
O9 0.276 0.549 0.326
O10 0.267 0.868 0.992
O11 0.271 0.212 0.660
O12 0.731 0.946 0.673
Li1 0.999 0.746 0.501
Li2 0.001 0.908 0.832
Li3 0.001 0.415 0.833
Li4 0.999 0.585 0.167
Li5 0.999 0.092 0.168
Li6 0.001 0.254 0.499
V1 0.500 0.845 0.164
V2 0.500 0.000 0.500
V3 0.500 0.155 0.836
Cr1 0.500 0.500 0.500
Cr2 0.501 0.341 0.167
Cr3 0.499 0.659 0.833
```

Calculated values
Theoretical density = 4.31 g/cm3
E above lowest polymorph = 0.002 eV/atom
ΔE_f (raw) = -2131 meV/atom
Uncorrected energy = -61.86 eV per formula unit
Space group = P-1 (2)
N(E_F) = 3.2 states/eV/f.u.

Entry 2:
LiIn2Ge2 | GGA-PBEsol | relaxed

Cell and atoms, written as CIF:
```
data_LiIn2Ge2
_symmetry_space_group_name_H-M 'P 1'
_symmetry_Int_Tables_number 1
_cell_length_a 4.593
_cell_length_b 4.593
_cell_length_c 6.661
_cell_angle_alpha 110.17
_cell_angle_beta 110.17
_cell_angle_gamma 90.00
loop_
_symmetry_equiv_pos_as_xyz
'x,y,z'
loop_
_atom_site_label
_atom_site_fract_x
_atom_site_fract_y
_atom_site_fract_z
Ge1 0.250 0.750 0.500
Ge2 0.750 0.250 0.500
In1 0.382 0.382 0.763
In2 0.618 0.618 0.237
Li1 0.000 0.000 0.000
```

Calculated values
Theoretical density = 5.17 g/cm3
Uncorrected energy = -17.38 eV per formula unit
Space group = I4/mmm (139)
Energy relative to the elements = 0.0868 eV per atom
N(E_F) = 1.3 states/eV/f.u.

Entry 3:
Tl2BTe | GGA-PBEsol | relaxed

Cell and atoms, written as CIF:
```
data_Tl2BTe
_symmetry_space_group_name_H-M 'P 1'
_symmetry_Int_Tables_number 1
_cell_length_a 6.152
_cell_length_b 6.152
_cell_length_c 7.157
_cell_angle_alpha 115.46
_cell_angle_beta 115.46
_cell_angle_gamma 90.00
loop_
_symmetry_equiv_pos_as_xyz
'x,y,z'
loop_
_atom_site_label
_atom_site_fract_x
_atom_site_fract_y
_atom_site_fract_z
Te1 0.250 0.750 0.500
Te2 0.000 0.000 0.000
Tl1 0.125 0.226 0.750
Tl2 0.774 0.375 0.250
Tl3 0.476 0.875 0.250
Tl4 0.625 0.524 0.750
B1 0.750 0.250 0.500
B2 0.500 0.500 0.000
```

Calculated values
Theoretical density = 8.45 g/cm3
ΔE_f (raw) = 539 meV/atom
Uncorrected energy = -13.65 eV per formula unit
Space group = I-42d (122)
N(E_F) = 2.3 states/eV/f.u.

Entry 4:
SrHfCr2H | GGA-PBEsol | relaxed

Cell and atoms, written as CIF:
```
data_SrHfCr2H
_symmetry_space_group_name_H-M 'P 1'
_symmetry_Int_Tables_number 1
_cell_length_a 3.712
_cell_length_b 5.332
_cell_length_c 5.332
_cell_angle_alpha 90.00
_cell_angle_beta 90.00
_cell_angle_gamma 90.00
loop_
_symmetry_equiv_pos_as_xyz
'x,y,z'
loop_
_atom_site_label
_atom_site_fract_x
_atom_site_fract_y
_atom_site_fract_z
Sr1 0.500 0.500 0.500
Cr1 0.000 0.000 0.500
Cr2 0.000 0.500 0.000
Hf1 0.000 0.000 0.000
H1 0.500 0.000 0.000
```

Calculated values
Theoretical density = 5.84 g/cm3
Uncorrected energy = -31.07 eV per formula unit
Space group = P4/mmm (123)
N(E_F) = 2.5 states/eV/f.u.

Entry 5:
CsWCl6 | GGA-PBEsol | relaxed

Cell and atoms, written as CIF:
```
data_CsWCl6
_symmetry_space_group_name_H-M 'P 1'
_symmetry_Int_Tables_number 1
_cell_length_a 6.289
_cell_length_b 6.744
_cell_length_c 12.171
_cell_angle_alpha 100.72
_cell_angle_beta 90.00
_cell_angle_gamma 117.79
loop_
_symmetry_equiv_pos_as_xyz
'x,y,z'
loop_
_atom_site_label
_atom_site_fract_x
_atom_site_fract_y
_atom_site_fract_z
Cl1 0.305 0.844 0.103
Cl2 0.798 0.428 0.160
Cl3 0.460 0.156 0.397
Cl4 0.209 0.311 0.040
Cl5 0.540 0.844 0.603
Cl6 0.202 0.572 0.840
Cl7 0.370 0.572 0.340
Cl8 0.630 0.428 0.660
Cl9 0.102 0.311 0.540
Cl10 0.695 0.156 0.897
Cl11 0.791 0.689 0.960
Cl12 0.898 0.689 0.460
Cs1 0.112 0.000 0.750
Cs2 0.888 0.000 0.250
W1 0.000 0.500 0.000
W2 0.500 0.500 0.500
```

Calculated values
Theoretical density = 3.94 g/cm3
ΔE_f (raw) = -1176 meV/atom
Uncorrected energy = -36.21 eV per formula unit
Space group = C2/c (15)
N(E_F) = 5.9 states/eV/f.u.

Entry 6:
BaIr2 | GGA-PBEsol | relaxed

Cell and atoms, written as CIF:
```
data_BaIr2
_symmetry_space_group_name_H-M 'P 1'
_symmetry_Int_Tables_number 1
_cell_length_a 4.214
_cell_length_b 4.214
_cell_length_c 4.922
_cell_angle_alpha 90.00
_cell_angle_beta 90.00
_cell_angle_gamma 120.00
loop_
_symmetry_equiv_pos_as_xyz
'x,y,z'
loop_
_atom_site_label
_atom_site_fract_x
_atom_site_fract_y
_atom_site_fract_z
Ba1 0.000 0.000 0.000
Ir1 0.667 0.333 0.500
Ir2 0.333 0.667 0.500
```

Calculated values
Theoretical density = 11.45 g/cm3
Uncorrected energy = -21.65 eV per formula unit
Space group = P6/mmm (191)
Energy relative to the elements = 0.0481 eV per atom
N(E_F) = 3.2 states/eV/f.u.

Entry 7:
SrAlPCl2 | GGA-PBEsol | relaxed

Cell and atoms, written as CIF:
```
data_SrAlPCl2
_symmetry_space_group_name_H-M 'P 1'
_symmetry_Int_Tables_number 1
_cell_length_a 4.782
_cell_length_b 4.803
_cell_length_c 4.803
_cell_angle_alpha 90.00
_cell_angle_beta 90.00
_cell_angle_gamma 90.00
loop_
_symmetry_equiv_pos_as_xyz
'x,y,z'
loop_
_atom_site_label
_atom_site_fract_x
_atom_site_fract_y
_atom_site_fract_z
Sr1 0.500 0.500 0.500
Al1 0.000 0.000 0.000
Cl1 0.000 0.500 0.000
Cl2 0.000 0.000 0.500
P1 0.500 0.000 0.000
```

Calculated values
Theoretical density = 3.26 g/cm3
ΔE_f (raw) = -1100 meV/atom
Uncorrected energy = -21.24 eV per formula unit
Space group = P4/mmm (123)
N(E_F) = 1.4 states/eV/f.u.

Entry 8:
La2CdIn | GGA-PBEsol | relaxed

Cell and atoms, written as CIF:
```
data_La2CdIn
_symmetry_space_group_name_H-M 'P 1'
_symmetry_Int_Tables_number 1
_cell_length_a 3.701
_cell_length_b 5.530
_cell_length_c 6.456
_cell_angle_alpha 101.24
_cell_angle_beta 90.00
_cell_angle_gamma 109.55
loop_
_symmetry_equiv_pos_as_xyz
'x,y,z'
loop_
_atom_site_label
_atom_site_fract_x
_atom_site_fract_y
_atom_site_fract_z
In1 0.500 0.000 0.000
La1 0.249 0.499 0.249
La2 0.751 0.501 0.751
Cd1 0.000 0.000 0.500
```

Calculated values
Theoretical density = 6.88 g/cm3
Uncorrected energy = -15.63 eV per formula unit
Space group = C2/m (12)
Energy relative to the elements = -0.1902 eV per atom
N(E_F) = 4.3 states/eV/f.u.

Entry 9:
LiCdSe2Br | GGA-PBEsol | relaxed

Cell and atoms, written as CIF:
```
data_LiCdSe2Br
_symmetry_space_group_name_H-M 'P 1'
_symmetry_Int_Tables_number 1
_cell_length_a 5.124
_cell_length_b 5.124
_cell_length_c 5.661
_cell_angle_alpha 90.00
_cell_angle_beta 90.00
_cell_angle_gamma 90.00
loop_
_symmetry_equiv_pos_as_xyz
'x,y,z'
loop_
_atom_site_label
_atom_site_fract_x
_atom_site_fract_y
_atom_site_fract_z
Cd1 0.000 0.000 0.000
Li1 0.500 0.500 0.500
Se1 0.000 0.500 0.000
Se2 0.500 0.000 0.000
Br1 0.000 0.000 0.500
```

Calculated values
Theoretical density = 3.99 g/cm3
ΔE_f (raw) = -102 meV/atom
Uncorrected energy = -13.24 eV per formula unit
Space group = P4/mmm (123)
N(E_F) = 7.1 states/eV/f.u.

Entry 10:
KMnCuW2 | GGA-PBEsol | relaxed

Cell and atoms, written as CIF:
```
data_KMnCuW2
_symmetry_space_group_name_H-M 'P 1'
_symmetry_Int_Tables_number 1
_cell_length_a 4.562
_cell_length_b 4.562
_cell_length_c 5.199
_cell_angle_alpha 90.00
_cell_angle_beta 90.00
_cell_angle_gamma 90.00
loop_
_symmetry_equiv_pos_as_xyz
'x,y,z'
loop_
_atom_site_label
_atom_site_fract_x
_atom_site_fract_y
_atom_site_fract_z
Cu1 0.000 0.000 0.000
W1 0.500 0.000 0.000
W2 0.000 0.500 0.000
Mn1 0.500 0.500 0.500
K1 0.000 0.000 0.500
```

Calculated values
Theoretical density = 8.06 g/cm3
Uncorrected energy = -31.14 eV per formula unit
Space group = P4/mmm (123)
Energy relative to the elements = 2.3413 eV per atom
N(E_F) = 5.9 states/eV/f.u.

Entry 11:
NaBeBiPd2 | GGA-PBEsol | relaxed

Cell and atoms, written as CIF:
```
data_NaBeBiPd2
_symmetry_space_group_name_H-M 'P 1'
_symmetry_Int_Tables_number 1
_cell_length_a 5.037
_cell_length_b 5.037
_cell_length_c 5.414
_cell_angle_alpha 90.00
_cell_angle_beta 90.00
_cell_angle_gamma 90.00
loop_
_symmetry_equiv_pos_as_xyz
'x,y,z'
loop_
_atom_site_label
_atom_site_fract_x
_atom_site_fract_y
_atom_site_fract_z
Pd1 0.000 0.500 0.000
Pd2 0.500 0.000 0.000
Be1 0.500 0.500 0.500
Na1 0.000 0.000 0.500
Bi1 0.000 0.000 0.000
```

Calculated values
Theoretical density = 5.49 g/cm3
Uncorrected energy = -16.19 eV per formula unit
Space group = P4/mmm (123)
Energy relative to the elements = 1.0828 eV per atom
N(E_F) = 4.5 states/eV/f.u.

Entry 12:
Hf2FeB2 | GGA-PBEsol | relaxed

Cell and atoms, written as CIF:
```
data_Hf2FeB2
_symmetry_space_group_name_H-M 'P 1'
_symmetry_Int_Tables_number 1
_cell_length_a 3.374
_cell_length_b 5.936
_cell_length_c 5.936
_cell_angle_alpha 90.00
_cell_angle_beta 90.00
_cell_angle_gamma 90.00
loop_
_symmetry_equiv_pos_as_xyz
'x,y,z'
loop_
_atom_site_label
_atom_site_fract_x
_atom_site_fract_y
_atom_site_fract_z
Fe1 0.000 0.500 0.500
Fe2 0.000 0.000 0.000
B1 0.000 0.609 0.109
B2 0.000 0.109 0.391
B3 0.000 0.891 0.609
B4 0.000 0.391 0.891
Hf1 0.500 0.182 0.682
Hf2 0.500 0.682 0.818
Hf3 0.500 0.318 0.182
Hf4 0.500 0.818 0.318
```

Calculated values
Theoretical density = 12.13 g/cm3
Uncorrected energy = -47.69 eV per formula unit
Space group = P4/mbm (127)
Energy relative to the elements = -0.7368 eV per atom
N(E_F) = 2.0 states/eV/f.u.